No. 1
First-principles (PBE) data for a relaxed structure of Os2I2F, as listed in Alexandria via LeMat-Bulk.

## Properties
- total moment (μB per cell) = 1.75
- uncorrected formation energy (kJ/mol of atoms) = 95.9
- relative energy among the computed polymorphs (eV per atom) = 0.488
- space-group type = P4/mbm (127)

a b c (Å): 7.798 7.798 3.256
angles (deg): 90.00 90.00 90.00
Positions (direct):
Os 0.113 0.387 0.000
Os 0.887 0.613 0.000
Os 0.387 0.887 0.000
Os 0.613 0.113 0.000
I 0.310 0.190 0.500
I 0.810 0.310 0.500
I 0.690 0.810 0.500
I 0.190 0.690 0.500
F 0.000 0.000 0.000
F 0.500 0.500 0.000



No. 2
First-principles (PBE) data for a relaxed structure of OsI2F, as listed in Alexandria via LeMat-Bulk.

## Properties
- total moment (μB per cell) = 0.00
- uncorrected formation energy (kJ/mol of atoms) = 28.1
- relative energy among the computed polymorphs (eV per atom) = 0.101
- space-group type = Fm-3m (225)

a b c (Å): 4.713 4.713 4.713
angles (deg): 60.00 60.00 60.00
Positions (direct):
F 0.000 0.000 0.000
Os 0.500 0.500 0.500
I 0.250 0.250 0.250
I 0.750 0.750 0.750



No. 3
First-principles (PBE) data for a relaxed structure of Os2IF8, as listed in Alexandria via LeMat-Bulk.

## Properties
- total moment (μB per cell) = 5.02
- uncorrected formation energy (kJ/mol of atoms) = -128.1
- space-group type = C2/m (12)

a b c (Å): 5.480 5.480 7.858
angles (deg): 96.54 96.54 112.46
Positions (direct):
F 0.188 0.188 0.454
F 0.924 0.339 0.693
F 0.812 0.812 0.546
F 0.661 0.076 0.307
F 0.339 0.924 0.693
F 0.445 0.445 0.810
F 0.076 0.661 0.307
F 0.555 0.555 0.190
Os 0.138 0.138 0.702
Os 0.862 0.862 0.298
I 0.000 0.000 0.000



No. 4
First-principles (PBE) data for a relaxed structure of OsI2F2, as listed in Alexandria via LeMat-Bulk.

## Properties
- total moment (μB per cell) = 0.00
- uncorrected formation energy (kJ/mol of atoms) = 29.3
- relative energy among the computed polymorphs (eV per atom) = 0.114
- space-group type = P4/mbm (127)

a b c (Å): 7.465 7.465 3.161
angles (deg): 90.00 90.00 90.00
Positions (direct):
F 0.621 0.879 0.500
F 0.379 0.121 0.500
F 0.879 0.379 0.500
F 0.121 0.621 0.500
I 0.811 0.689 0.000
I 0.189 0.311 0.000
I 0.311 0.811 0.000
I 0.689 0.189 0.000
Os 0.000 0.000 0.000
Os 0.500 0.500 0.000



No. 5
First-principles (PBE) data for a relaxed structure of OsI3F, as listed in Alexandria via LeMat-Bulk.

## Properties
- total moment (μB per cell) = 4.65
- uncorrected formation energy (kJ/mol of atoms) = 135.1
- space-group type = Pm-3m (221)

a b c (Å): 5.245 5.245 5.245
angles (deg): 90.00 90.00 90.00
Positions (direct):
I 0.000 0.000 0.500
I 0.500 0.000 0.000
I 0.000 0.500 0.000
Os 0.500 0.500 0.500
F 0.000 0.000 0.000



No. 6
First-principles (PBE) data for a relaxed structure of Pr6Os2I3F, as listed in Alexandria via LeMat-Bulk.

## Properties
- total moment (μB per cell) = 0.00
- uncorrected formation energy (kJ/mol of atoms) = -92.9
- space-group type = C2/m (12)

a b c (Å): 7.245 7.245 8.535
angles (deg): 98.11 98.11 120.02
Positions (direct):
Pr 0.407 0.062 0.186
Pr 0.938 0.593 0.814
Pr 0.593 0.938 0.814
Pr 0.282 0.282 0.815
Pr 0.062 0.407 0.186
Pr 0.718 0.718 0.185
I 0.831 0.169 0.500
I 0.169 0.831 0.500
I 0.500 0.500 0.500
Os 0.667 0.333 0.000
Os 0.333 0.667 0.000
F 0.000 0.000 0.000



No. 7
First-principles (PBE) data for a relaxed structure of Rb2OsIF6, as listed in Alexandria via LeMat-Bulk.

## Properties
- total moment (μB per cell) = 3.00
- uncorrected formation energy (kJ/mol of atoms) = -183.5
- space-group type = Fm-3m (225)

a b c (Å): 7.214 7.214 7.214
angles (deg): 60.00 60.00 90.00
Positions (direct):
F 0.811 0.811 0.378
F 0.189 0.189 0.000
F 0.811 0.811 0.000
F 0.811 0.189 0.000
F 0.189 0.189 0.622
F 0.189 0.811 0.000
Rb 0.750 0.250 0.500
Rb 0.250 0.750 0.500
I 0.500 0.500 0.000
Os 0.000 0.000 0.000



No. 8
First-principles (PBE) data for a relaxed structure of OsRuI2F, as listed in Alexandria via LeMat-Bulk.

## Properties
- total moment (μB per cell) = 3.84
- uncorrected formation energy (kJ/mol of atoms) = 81.4
- space-group type = P4/mmm (123)

a b c (Å): 5.408 3.995 5.408
angles (deg): 90.00 90.00 90.00
Positions (direct):
F 0.000 0.500 0.000
I 0.500 0.000 0.000
I 0.000 0.000 0.500
Ru 0.500 0.500 0.500
Os 0.000 0.000 0.000



DOS at the Fermi energy values (in states/eV/cell) by entry order: 7.9 1.8 1.6 13.0 7.8 3.1 0.0 6.4.
Calculated density values (in g/cm³) by entry order: 10.96 10.39 5.13 9.09 6.79 7.25 3.77 8.02.
E_tot values (in eV for the cell shown) by entry order: -44.920 -15.037 -53.580 -33.113 -10.752 -69.209 -44.964 -21.256.